Here is a relaxed Zn2Cd2In crystal from the Alexandria database. Energies are from GGA-PBE.

- Symmetry: P4/mbm, No. 127
- Density of states at the Fermi level: 1.5 states/eV/f.u.
- Raw total energy: -13.23 eV per cell
- Energy of formation from the pure elements: 0.100 eV per atom

abc: 8.537 8.537 2.925
angles: 90.00 90.00 90.00
Atoms (fractional coordinates):
Cd: 0.363 0.863 0.000
Cd: 0.137 0.363 0.000
Cd: 0.637 0.137 0.000
Cd: 0.863 0.637 0.000
Zn: 0.838 0.338 0.500
Zn: 0.338 0.162 0.500
Zn: 0.162 0.662 0.500
Zn: 0.662 0.838 0.500
In: 0.500 0.500 0.000
In: 0.000 0.000 0.000